1.
Below is a relaxed structure of Nd2Y8Ho3, with properties calculated at the GGA-PBE level.

Unit cell a=5.6043 b=7.6266 c=11.0343 alpha=110.22 beta=90.02 gamma=90.00
Atoms (fractional coordinates):
Y 0.5002 0.8188 0.2116
Ho 0.5000 0.0000 0.0000
Y 0.0005 0.6641 0.3282
Y 0.4998 0.1812 0.7884
Y 0.9999 0.1302 0.2604
Nd 0.5007 0.7592 0.5183
Ho 0.0000 0.2843 0.0000
Y 0.5002 0.3928 0.2116
Y 0.4998 0.6072 0.7884
Y 0.0001 0.8698 0.7396
Ho 0.0000 0.7157 0.0000
Y 0.9995 0.3359 0.6718
Nd 0.4993 0.2408 0.4817

Formation energy from the elements = 3.14 eV per formula unit
M_tot = 0.00 μB/f.u.
Space-group type = C2/m
Energy above the most stable polymorph in this dataset = 95.5 meV/atom

***

2.
Below is a relaxed structure of NiI, with properties calculated at the GGA-PBE level.

Unit cell a=4.0686 b=4.0686 c=6.8607 alpha=90.00 beta=90.00 gamma=120.00
Atoms (fractional coordinates):
I 0.6667 0.3333 0.2241
Ni 0.6667 0.3333 0.8579
Ni 0.3333 0.6667 0.3579
I 0.3333 0.6667 0.7241

M_tot = 0.22 μB/f.u.
ΔE_f (raw) = 152 meV per atom
Space-group type = P6_3mc

***

3.
Below is a relaxed structure of KNa2SrBi, with properties calculated at the GGA-PBE level.

Unit cell a=6.2458 b=6.2458 c=6.5239 alpha=90.00 beta=90.00 gamma=90.00
Atoms (fractional coordinates):
Bi 0.0000 0.0000 0.0000
Na 0.5000 0.0000 0.0000
Na 0.0000 0.5000 0.0000
K 0.5000 0.5000 0.5000
Sr 0.0000 0.0000 0.5000

Formation energy from the elements = -1.06 eV per formula unit
M_tot = 0.00 μB/f.u.
Space-group type = P4/mmm

***

4.
Below is a relaxed structure of CaIrPtO6, with properties calculated at the GGA-PBE level.

Unit cell a=5.2826 b=5.2826 c=9.9885 alpha=90.00 beta=90.00 gamma=120.00
Atoms (fractional coordinates):
O 0.3606 0.3683 0.8569
O 0.3606 0.9923 0.6431
O 0.6394 0.6317 0.1431
O 0.6317 0.9923 0.8569
O 0.3683 0.3606 0.3569
Pt 0.6667 0.3333 0.7500
O 0.9923 0.6317 0.3569
O 0.0077 0.3683 0.6431
Ir 0.6667 0.3333 0.2500
O 0.3683 0.0077 0.1431
O 0.9923 0.3606 0.1431
O 0.0077 0.6394 0.8569
Ca 0.0000 0.0000 0.0000
Ir 0.3333 0.6667 0.7500
O 0.6317 0.6394 0.6431
Pt 0.3333 0.6667 0.2500
O 0.6394 0.0077 0.3569
Ca 0.0000 0.0000 0.5000

M_tot = 3.02 μB/f.u.
ΔE_f (raw) = -1156 meV per atom
Space-group type = P-31c

***

5.
Below is a relaxed structure of La2HoHg3, with properties calculated at the GGA-PBE level.

Unit cell a=3.7631 b=3.7631 c=11.9834 alpha=90.00 beta=90.00 gamma=90.00
Atoms (fractional coordinates):
Hg 0.0000 0.0000 0.6450
La 0.5000 0.5000 0.1748
Hg 0.0000 0.0000 0.3550
Ho 0.5000 0.5000 0.5000
La 0.5000 0.5000 0.8252
Hg 0.0000 0.0000 0.0000

Formation energy from the elements = -2.94 eV per formula unit
M_tot = 0.78 μB/f.u.
Space-group type = P4/mmm

***

6.
Below is a relaxed structure of SmPu2Fe9, with properties calculated at the GGA-PBE level.

Unit cell a=4.9855 b=4.9855 c=8.7699 alpha=73.49 beta=73.49 gamma=60.00
Atoms (fractional coordinates):
Sm 0.0000 0.0000 0.0000
Fe 0.5000 0.5000 0.5000
Pu 0.8530 0.8530 0.4409
Fe 0.5820 0.5820 0.7559
Fe 0.5820 0.0801 0.7559
Fe 0.6661 0.6661 0.0016
Fe 0.4180 0.9199 0.2441
Fe 0.3339 0.3339 0.9984
Pu 0.1470 0.1470 0.5591
Fe 0.0801 0.5820 0.7559
Fe 0.4180 0.4180 0.2441
Fe 0.9199 0.4180 0.2441

Formation energy from the elements = 1.37 eV per formula unit
M_tot = 23.97 μB/f.u.
Space-group type = R-3m

***

7.
Below is a relaxed structure of KCrPb, with properties calculated at the GGA-PBE level.

Unit cell a=5.4036 b=5.4036 c=5.4036 alpha=60.00 beta=60.00 gamma=60.00
Atoms (fractional coordinates):
Pb 0.0000 0.0000 0.0000
Cr 0.5000 0.5000 0.5000
K 0.7500 0.7500 0.7500

Formation energy from the elements = 3.51 eV per formula unit
M_tot = 3.72 μB/f.u.
Space-group type = F-43m
Energy above the most stable polymorph in this dataset = 715.7 meV/atom

***

8.
Below is a relaxed structure of MnNb2S4, with properties calculated at the GGA-PBE level.

Unit cell a=6.3102 b=6.9263 c=6.4351 alpha=90.00 beta=105.50 gamma=90.00
Atoms (fractional coordinates):
Nb 0.3207 0.2500 0.4794
S 0.0379 0.2500 0.1304
Nb 0.6793 0.7500 0.5206
Nb 0.3219 0.2500 0.9268
Mn 0.2477 0.7500 0.1802
Nb 0.6781 0.7500 0.0732
S 0.5018 0.5024 0.7499
S 0.0067 0.2500 0.6177
S 0.9933 0.7500 0.3823
S 0.5018 0.9976 0.7499
Mn 0.7523 0.2500 0.8198
S 0.9621 0.7500 0.8696
S 0.4982 0.4976 0.2501
S 0.4982 0.0024 0.2501

M_tot = 3.04 μB/f.u.
ΔE_f (raw) = -580 meV per atom
Space-group type = P2_1/m

***

9.
Below is a relaxed structure of CsK6Na2, with properties calculated at the GGA-PBE level.

Unit cell a=7.7190 b=13.4988 c=13.4988 alpha=61.28 beta=89.79 gamma=89.79
Atoms (fractional coordinates):
K 0.7504 0.9512 0.4511
K 0.7527 0.5159 0.6879
K 0.7517 0.1883 0.0160
K 0.2483 0.8117 0.9840
K 0.2496 0.0488 0.5489
K 0.7473 0.3121 0.4841
Na 0.5000 0.7498 0.7499
K 0.7483 0.9840 0.8117
K 0.2473 0.4841 0.3121
Na 0.0000 0.7499 0.7498
Cs 0.2500 0.2498 0.7502
K 0.2527 0.6879 0.5159
K 0.7496 0.5489 0.0488
Na 0.0000 0.2501 0.2502
Na 0.5000 0.2502 0.2501
K 0.2504 0.4511 0.9512
K 0.2517 0.0160 0.1883
Cs 0.7500 0.7502 0.2498

Formation energy from the elements = 0.10 eV per formula unit
M_tot = 0.00 μB/f.u.
Space-group type = C2/c
Energy above the most stable polymorph in this dataset = 0.0 meV/atom

***

10.
Below is a relaxed structure of TaRuN2, with properties calculated at the GGA-PBE level.

Unit cell a=6.4926 b=6.4926 c=6.4926 alpha=27.36 beta=27.36 gamma=27.36
Atoms (fractional coordinates):
Ta 0.5000 0.5000 0.5000
N 0.1068 0.1068 0.1068
N 0.8932 0.8932 0.8932
Ru 0.0000 0.0000 0.0000

M_tot = 1.70 μB/f.u.
ΔE_f (raw) = -209 meV per atom
Space-group type = R-3m
Energy above the most stable polymorph in this dataset = 58.4 meV/atom

***

11.
Below is a relaxed structure of Ce2GaAs3Rh4, with properties calculated at the GGA-PBE level.

Unit cell a=4.1855 b=4.1855 c=10.3349 alpha=90.00 beta=90.00 gamma=90.00
Atoms (fractional coordinates):
Rh 0.5000 0.0000 0.6312
Ce 0.0000 0.5000 0.7490
Ga 0.5000 0.5000 0.5000
Rh 0.0000 0.0000 0.0000
Rh 0.0000 0.5000 0.3688
As 0.5000 0.0000 0.8638
As 0.0000 0.5000 0.1362
As 0.0000 0.0000 0.5000
Rh 0.5000 0.5000 0.0000
Ce 0.5000 0.0000 0.2510

Formation energy from the elements = -9.18 eV per formula unit
M_tot = 0.38 μB/f.u.
Space-group type = P-4m2

***

12.
Below is a relaxed structure of LiAcSnAu, with properties calculated at the GGA-PBE level.

Unit cell a=5.1945 b=5.1945 c=5.1945 alpha=60.00 beta=60.00 gamma=60.00
Atoms (fractional coordinates):
Ac 0.7500 0.7500 0.7500
Sn 0.2500 0.2500 0.2500
Au 0.5000 0.5000 0.5000
Li 0.0000 0.0000 0.0000

Formation energy from the elements = -2.20 eV per formula unit
M_tot = 0.00 μB/f.u.
Space-group type = F-43m
Energy above the most stable polymorph in this dataset = 39.6 meV/atom

***

- M_tot of number 7 (KCrPb)?
  3.72 μB/f.u.

***

- Which value of M_tot does entry 12 give?
  0.00 μB/f.u.